# La2Pa2Ge2N, relaxed, DFT GGA-PBE
data_La2Pa2Ge2N
_cell_length_a 4.607
_cell_length_b 4.607
_cell_length_c 16.245
_cell_angle_alpha 90.00
_cell_angle_beta 90.00
_cell_angle_gamma 90.00
_space_group_name_H-M_alt 'I 4/m m m'
_space_group_IT_number 139
_space_group_name_Hall '-I 4 2'
loop_
_atom_site_label
_atom_site_fract_x
_atom_site_fract_y
_atom_site_fract_z
_atom_site_occupancy
La1 0.000 0.000 0.172 1
Pa1 0.000 0.500 0.000 1
Ge1 0.000 0.000 0.371 1
N1 0.000 0.000 0.000 1
# Formation energy without anion corrections = -0.9105 eV per atom
# Total DFT energy (no corrections) = -7.540 eV per atom

# La2PaGeN5, relaxed, DFT GGA-PBE
data_La2PaGeN5
_cell_length_a 3.507
_cell_length_b 14.838
_cell_length_c 10.685
_cell_angle_alpha 90.00
_cell_angle_beta 90.00
_cell_angle_gamma 90.00
_space_group_name_H-M_alt 'C m c 21'
_space_group_IT_number 36
_space_group_name_Hall 'C 2c -2'
loop_
_atom_site_label
_atom_site_fract_x
_atom_site_fract_y
_atom_site_fract_z
_atom_site_occupancy
La1 0.000 0.107 0.000 1
La2 0.000 0.127 0.650 1
Pa1 0.000 0.202 0.351 1
Ge1 0.000 0.455 0.759 1
N1 0.000 0.036 0.347 1
N2 0.000 0.289 0.984 1
N3 0.000 0.326 0.713 1
N4 0.000 0.349 0.335 1
N5 0.000 0.490 0.106 1
# Formation energy without anion corrections = -1.0983 eV per atom
# Total DFT energy (no corrections) = -8.387 eV per atom